Version i
TeIr2Br: optimized geometry, PBE-GGA.

Magnetization in μB/f.u.: 0.00

Unit cell a=7.548 b=3.685 c=6.212 alpha=90.00 beta=107.74 gamma=90.00
Space group C2/m (No. 12)
Asymmetric unit:
Te 0.000 0.000 0.000
Ir 0.240 0.500 0.198
Br 0.000 0.500 0.500

=====

Version ii
TeIr2Br: optimized geometry, PBE-GGA.

Magnetization in μB/f.u.: 0.00

Unit cell a=3.033 b=4.614 c=5.550 alpha=90.00 beta=100.76 gamma=90.00
Space group P2/m (No. 10)
Asymmetric unit:
Te 0.000 0.000 0.000
Ir 0.167 0.500 0.280
Br 0.500 0.000 0.500

=====

Quick one: least stable of them? version ii

=====

Version i
KAlTl: optimized geometry, PBE-GGA.

Magnetization in μB/f.u.: 0.00

Unit cell a=3.329 b=4.441 c=12.626 alpha=90.00 beta=90.00 gamma=90.00
Space group Imm2 (No. 44)
Asymmetric unit:
K 0.000 0.000 0.000
Al 0.000 0.000 0.303
Tl 0.000 0.000 0.702

=====

Version ii
KAlTl: optimized geometry, PBE-GGA.

Magnetization in μB/f.u.: 0.00

Unit cell a=4.967 b=4.547 c=8.622 alpha=90.00 beta=94.62 gamma=90.00
Space group P2_1/m (No. 11)
Asymmetric unit:
K 0.235 0.250 0.348
Al 0.162 0.750 0.010
Tl 0.318 0.250 0.810

=====

Quick one: least stable of them? version i

=====

Version i
KPdBr: optimized geometry, PBE-GGA.

Magnetization in μB/f.u.: 0.00

Unit cell a=4.630 b=4.630 c=15.483 alpha=90.00 beta=90.00 gamma=90.00
Space group I4_1md (No. 109)
Asymmetric unit:
K 0.000 0.000 0.000
Pd 0.000 0.000 0.409
Br 0.000 0.000 0.589

=====

Version ii
KPdBr: optimized geometry, PBE-GGA.

Magnetization in μB/f.u.: 0.00

Unit cell a=5.5325 b=5.5325 c=9.7336 alpha=90.00 beta=90.00 gamma=120.00
Space group P6_3/mmc (No. 194)
Asymmetric unit:
K 0.3333 0.6667 0.2500
Pd 0.0000 0.0000 0.0000
Br 0.0000 0.0000 0.2500

=====

Quick one: least stable of them? version ii

=====

Version i
CaSb3H: optimized geometry, PBE-GGA.

Magnetization in μB/f.u.: 0.00

Unit cell a=4.854 b=4.854 c=4.854 alpha=90.00 beta=90.00 gamma=90.00
Space group Pm-3m (No. 221)
Asymmetric unit:
Ca 0.000 0.000 0.000
Sb 0.000 0.500 0.500
H 0.500 0.500 0.500

=====

Version ii
CaSb3H: optimized geometry, PBE-GGA.

Magnetization in μB/f.u.: 0.75

Unit cell a=5.780 b=5.780 c=5.780 alpha=90.00 beta=90.00 gamma=90.00
Space group Pm-3m (No. 221)
Asymmetric unit:
Ca 0.000 0.000 0.000
Sb 0.000 0.000 0.500
H 0.500 0.500 0.500

=====

Quick one: least stable of them? version ii